Compound: Zr2Al2In
Source: Alexandria via LeMat-Bulk
Functional: GGA-PBEsol
Structure: relaxed

Output
- electronic total energy (eV/atom) = -6.25
- size of the total moment (μB/f.u.) = 0.000
- E_form (eV/atom) = -0.38

Cell: 3.9804 6.9895 6.9895 Å, 90.00 90.00 90.00°
Last column: nearest neighbours and their distance in Å.
Positions (direct):
Al1 0.0000 0.3748 0.8748  1 Al 2.47, 2 In 2.76
Al2 0.0000 0.6252 0.1252  1 Al 2.47, 2 In 2.76
Zr1 0.5000 0.3259 0.1741  6 Al 2.81-2.91
Al3 0.0000 0.1252 0.3748  1 Al 2.47, 2 In 2.76
Zr2 0.5000 0.6741 0.8259  6 Al 2.81-2.91
In1 0.0000 0.5000 0.5000  4 Al 2.76
Zr3 0.5000 0.1741 0.6741  6 Al 2.81-2.91
Zr4 0.5000 0.8259 0.3259  6 Al 2.81-2.91
In2 0.0000 0.0000 0.0000  4 Al 2.76
Al4 0.0000 0.8748 0.6252  1 Al 2.47, 2 In 2.76

=====

Compound: ZrAlIn2
Source: Alexandria via LeMat-Bulk
Functional: GGA-PBEsol
Structure: relaxed

Output
- electronic total energy (eV/atom) = -5.09
- size of the total moment (μB/f.u.) = 0.000
- E_form (eV/atom) = -0.31

Cell: 4.1308 4.1308 5.5734 Å, 111.75 111.75 90.00°
Last column: nearest neighbours and their distance in Å.
Positions (direct):
In1 0.7500 0.2500 0.5000  4 Al 2.92, 4 Zr 3.15, 4 In 3.15
Al1 0.2500 0.7500 0.5000  8 In 2.92-3.15, 4 Zr 3.15
Zr1 0.5000 0.5000 0.0000  8 In 2.92-3.15, 4 Al 3.15
In2 0.0000 0.0000 0.0000  4 Zr 2.92, 4 Al 3.15, 4 In 3.15

=====

Compound: ZrAlIn
Source: Alexandria via LeMat-Bulk
Functional: GGA-PBEsol
Structure: relaxed

Output
- electronic total energy (eV/atom) = -5.59
- size of the total moment (μB/f.u.) = 0.000
- E_form (eV/atom) = -0.20

Cell: 3.2300 3.2300 6.1677 Å, 105.18 105.18 90.00°
Last column: nearest neighbours and their distance in Å.
Positions (direct):
In1 0.6589 0.6589 0.3179  4 Al 2.94, 4 Zr 3.11, 4 In 3.23
Al1 0.9975 0.9975 0.9949  4 Zr 2.89, 4 In 2.94, 4 Al 3.23
Zr1 0.3436 0.3436 0.6872  4 Al 2.89, 4 In 3.11, 4 Zr 3.23

=====

Compound: ZrAlIn2
Source: Alexandria via LeMat-Bulk
Functional: GGA-PBEsol
Structure: relaxed

Output
- electronic total energy (eV/atom) = -4.87
- size of the total moment (μB/f.u.) = 0.000
- E_form (eV/atom) = -0.08

Cell: 3.2215 3.2215 9.8136 Å, 80.55 80.55 60.00°
Last column: nearest neighbours and their distance in Å.
Positions (direct):
Zr1 0.4963 0.4963 0.5110  3 Al 2.93, 3 In 3.10, 6 Zr 3.22
Al1 0.7515 0.7515 0.7454  3 Zr 2.93, 3 In 3.00, 6 Al 3.22
In1 0.2487 0.2487 0.2540  3 Zr 3.10, 9 In 3.15-3.22
In2 0.0035 0.0035 0.9896  3 Al 3.00, 9 In 3.15-3.22

=====

Compound: Zr2AlIn
Source: Alexandria via LeMat-Bulk
Functional: GGA-PBEsol
Structure: relaxed

Output
- electronic total energy (eV/atom) = -6.72
- size of the total moment (μB/f.u.) = 0.000
- E_form (eV/atom) = -0.40

Cell: 4.3126 4.3126 5.2670 Å, 114.17 114.17 90.00°
Last column: nearest neighbours and their distance in Å.
Positions (direct):
Al1 0.5000 0.5000 0.0000  8 Zr 3.04, 4 In 3.05
Zr1 0.7500 0.2500 0.5000  4 In 3.04, 4 Al 3.04, 4 Zr 3.05
In1 0.0000 0.0000 0.0000  8 Zr 3.04, 4 Al 3.05
Zr2 0.2500 0.7500 0.5000  4 In 3.04, 4 Al 3.04, 4 Zr 3.05

=====

Compound: Zr2AlIn
Source: Alexandria via LeMat-Bulk
Functional: GGA-PBEsol
Structure: relaxed

Output
- electronic total energy (eV/atom) = -6.72
- size of the total moment (μB/f.u.) = 0.000
- E_form (eV/atom) = -0.40

Cell: 3.0553 4.2723 6.1216 Å, 90.00 90.00 90.00°
Last column: nearest neighbours and their distance in Å.
Positions (direct):
In1 0.5000 0.5000 0.5000  2 In 3.06, 2 Al 3.06, 8 Zr 3.06
Zr1 0.0000 0.0000 0.2428  4 Zr 2.97-3.15, 4 Al 3.02, 4 In 3.06
Al1 0.5000 0.5000 0.0000  8 Zr 3.02, 2 Al 3.06, 2 In 3.06
Zr2 0.0000 0.0000 0.7572  4 Zr 2.97-3.15, 4 Al 3.02, 4 In 3.06

=====

Compound: ZrAlIn
Source: Alexandria via LeMat-Bulk
Functional: GGA-PBEsol
Structure: relaxed

Output
- electronic total energy (eV/atom) = -5.65
- size of the total moment (μB/f.u.) = 0.000
- E_form (eV/atom) = -0.26

Cell: 3.1870 4.6145 4.6145 Å, 120.00 90.00 90.00°
Last column: nearest neighbours and their distance in Å.
Positions (direct):
Zr1 0.5000 0.3333 0.6667  6 Al 3.10, 6 In 3.10, 2 Zr 3.19
Al1 0.0000 0.0000 0.0000  3 In 2.66
In1 0.0000 0.6667 0.3333  3 Al 2.66

=====

Compound: Zr2AlIn
Source: Alexandria via LeMat-Bulk
Functional: GGA-PBEsol
Structure: relaxed

Output
- electronic total energy (eV/atom) = -6.71
- size of the total moment (μB/f.u.) = 0.000
- E_form (eV/atom) = -0.40

Cell: 4.2859 4.3188 4.3188 Å, 90.00 90.00 90.00°
Last column: nearest neighbours and their distance in Å.
Positions (direct):
In1 0.5000 0.0000 0.0000  8 Zr 3.04, 4 Al 3.05
Al1 0.5000 0.5000 0.5000  8 Zr 3.04, 4 In 3.05
Zr1 0.0000 0.0000 0.5000  4 In 3.04, 4 Al 3.04, 4 Zr 3.05
Zr2 0.0000 0.5000 0.0000  4 In 3.04, 4 Al 3.04, 4 Zr 3.05